Entry 1:
The following is a PBE calculation of crystalline PdSe2I at its relaxed geometry, from Alexandria.

It has space group R3m (No. 160, hexagonal axes), with a = 4.2053 Å, b = 4.2053 Å, c = 20.7019 Å, α = 90.00°, β = 90.00° and γ = 120.00°. Symmetry generates all atoms from Pd at (0.0000, 0.0000, 0.0000), Se at (0.0000, 0.0000, 0.2680), Se at (0.0000, 0.0000, 0.8785) and I at (0.0000, 0.0000, 0.4259).

Its theoretical density is 6.1 g/cm³. The value obtained for the calculated volume is 26.42 Å³ per atom. For the formation energy (no corrections), the calculation gives 0.19 eV per atom.

Entry 2:
The following is a PBE calculation of crystalline Mn2VCdPt at its relaxed geometry, from Alexandria.

It has space group P4/mmm (No. 123), with a = 4.838 Å, b = 4.838 Å, c = 4.939 Å, α = 90.00°, β = 90.00° and γ = 90.00°. Symmetry generates all atoms from Mn at (0.000, 0.500, 0.000), V at (0.000, 0.000, 0.500), Cd at (0.500, 0.500, 0.000) and Pt at (0.500, 0.500, 0.500).

For the energy of formation, the calculation gives 1.658 eV per atom. Its theoretical density is 6.7 g/cm³. The value obtained for the calculated volume is 23.12 Å³ per atom.

Entry 3:
The following is a PBE calculation of crystalline Y2MgAgIr at its relaxed geometry, from Alexandria.

It has space group P4/mmm (No. 123), with a = 5.382 Å, b = 5.382 Å, c = 4.706 Å, α = 90.00°, β = 90.00° and γ = 90.00°. Symmetry generates all atoms from Y at (0.000, 0.500, 0.000), Mg at (0.000, 0.000, 0.500), Ag at (0.000, 0.000, 0.000) and Ir at (0.500, 0.500, 0.500).

For the energy of formation, the calculation gives 0.517 eV per atom. Its theoretical density is 6.1 g/cm³. The value obtained for the calculated volume is 27.26 Å³ per atom.

- The highest calculated volume belongs to which entry?
  Y2MgAgIr